# 1
First-principles (PBEsol) data for a relaxed structure of K2YTiP3O12, as listed in the Alexandria database. Values from VASP.

Computed properties:
* formation energy from raw total energies: -2.684 eV per atom
* spin magnetization: 0.0 Bohr magnetons per cell
* Fermi-level density of states: 0.000 states/eV/cell

Quantum ESPRESSO input file:
```
&SYSTEM
  ibrav = 0, nat = 76, ntyp = 5
/
ATOMIC_SPECIES
K 39.10 K.upf
Y 88.91 Y.upf
Ti 47.87 Ti.upf
P 30.97 P.upf
O 16.00 O.upf
CELL_PARAMETERS angstrom
10.169 0.000 0.000
0.000 10.169 0.000
0.000 0.000 10.169
ATOMIC_POSITIONS crystal
K 0.926 0.574 0.426
K 0.574 0.426 0.926
K 0.074 0.074 0.074
K 0.426 0.926 0.574
K 0.699 0.801 0.199
K 0.801 0.199 0.699
K 0.301 0.301 0.301
K 0.199 0.699 0.801
Y 0.078 0.922 0.422
Y 0.578 0.578 0.578
Y 0.422 0.078 0.922
Y 0.922 0.422 0.078
Ti 0.858 0.858 0.858
Ti 0.142 0.358 0.642
Ti 0.358 0.642 0.142
Ti 0.642 0.142 0.358
P 0.051 0.748 0.115
P 0.885 0.551 0.752
P 0.248 0.385 0.949
P 0.551 0.752 0.885
P 0.385 0.949 0.248
P 0.748 0.115 0.051
P 0.949 0.248 0.385
P 0.115 0.051 0.748
P 0.752 0.885 0.551
P 0.449 0.252 0.615
P 0.615 0.449 0.252
P 0.252 0.615 0.449
O 0.025 0.849 0.223
O 0.777 0.525 0.651
O 0.349 0.277 0.975
O 0.525 0.651 0.777
O 0.277 0.975 0.349
O 0.849 0.223 0.025
O 0.975 0.349 0.277
O 0.223 0.025 0.849
O 0.651 0.777 0.525
O 0.475 0.151 0.723
O 0.723 0.475 0.151
O 0.151 0.723 0.475
O 0.986 0.798 0.986
O 0.014 0.486 0.702
O 0.298 0.514 0.014
O 0.486 0.702 0.014
O 0.514 0.014 0.298
O 0.798 0.986 0.986
O 0.014 0.298 0.514
O 0.986 0.986 0.798
O 0.702 0.014 0.486
O 0.514 0.202 0.486
O 0.486 0.514 0.202
O 0.202 0.486 0.514
O 0.201 0.738 0.085
O 0.915 0.701 0.762
O 0.238 0.415 0.799
O 0.701 0.762 0.915
O 0.415 0.799 0.238
O 0.738 0.085 0.201
O 0.799 0.238 0.415
O 0.085 0.201 0.738
O 0.762 0.915 0.701
O 0.299 0.262 0.585
O 0.585 0.299 0.262
O 0.262 0.585 0.299
O 0.991 0.615 0.151
O 0.849 0.491 0.885
O 0.115 0.349 0.009
O 0.491 0.885 0.849
O 0.349 0.009 0.115
O 0.615 0.151 0.991
O 0.009 0.115 0.349
O 0.151 0.991 0.615
O 0.885 0.849 0.491
O 0.509 0.385 0.651
O 0.651 0.509 0.385
O 0.385 0.651 0.509
```

# 2
First-principles (PBEsol) data for a relaxed structure of KTlP2O, as listed in the Alexandria database. Values from VASP.

Computed properties:
* formation energy from raw total energies: 0.577 eV per atom
* spin magnetization: 2.5 Bohr magnetons per cell
* Fermi-level density of states: 2.874 states/eV/cell

Quantum ESPRESSO input file:
```
&SYSTEM
  ibrav = 0, nat = 5, ntyp = 4
/
ATOMIC_SPECIES
P 30.97 P.upf
Tl 204.38 Tl.upf
K 39.10 K.upf
O 16.00 O.upf
CELL_PARAMETERS angstrom
4.417 0.000 0.000
0.000 5.232 0.000
0.000 0.000 5.232
ATOMIC_POSITIONS crystal
P 0.000 0.000 0.500
P 0.000 0.500 0.000
Tl 0.000 0.000 0.000
K 0.500 0.500 0.500
O 0.500 0.000 0.000
```

# 3
First-principles (PBEsol) data for a relaxed structure of K4UP2O10, as listed in the Alexandria database. Values from VASP.

Computed properties:
* formation energy from raw total energies: -2.502 eV per atom
* spin magnetization: 0.0 Bohr magnetons per cell
* Fermi-level density of states: 0.000 states/eV/cell

Quantum ESPRESSO input file:
```
&SYSTEM
  ibrav = 0, nat = 34, ntyp = 4
/
ATOMIC_SPECIES
K 39.10 K.upf
U 238.03 U.upf
P 30.97 P.upf
O 16.00 O.upf
CELL_PARAMETERS angstrom
-0.919 -1.764 6.577
3.863 -5.600 -0.962
9.687 6.166 3.007
ATOMIC_POSITIONS crystal
K 0.000 0.252 0.673
K 0.500 0.248 0.827
K 0.000 0.748 0.673
K 0.252 0.000 0.327
K 0.500 0.752 0.827
K 0.748 0.000 0.327
K 0.248 0.500 0.173
K 0.752 0.500 0.173
U 0.000 0.000 0.000
U 0.500 0.500 0.500
P 0.000 0.500 0.419
P 0.500 0.000 0.581
P 0.500 0.000 0.081
P 0.000 0.500 0.919
O 0.815 0.500 0.848
O 0.000 0.324 0.005
O 0.176 0.500 0.505
O 0.000 0.676 0.005
O 0.685 0.000 0.652
O 0.000 0.000 0.155
O 0.500 0.824 0.495
O 0.500 0.500 0.345
O 0.824 0.500 0.505
O 0.500 0.185 0.152
O 0.185 0.500 0.848
O 0.676 0.000 0.995
O 0.500 0.176 0.495
O 0.324 0.000 0.995
O 0.500 0.815 0.152
O 0.315 0.000 0.652
O 0.500 0.500 0.655
O 0.000 0.000 0.845
O 0.000 0.315 0.348
O 0.000 0.685 0.348
```

# 4
First-principles (PBEsol) data for a relaxed structure of KVPO5, as listed in the Alexandria database. Values from VASP.

Computed properties:
* ΔE to the lowest computed polymorph: 0.040 eV per atom
* formation energy from raw total energies: -2.330 eV per atom
* spin magnetization: 4.0 Bohr magnetons per cell

Quantum ESPRESSO input file:
```
&SYSTEM
  ibrav = 0, nat = 32, ntyp = 4
/
ATOMIC_SPECIES
K 39.10 K.upf
V 50.94 V.upf
P 30.97 P.upf
O 16.00 O.upf
CELL_PARAMETERS angstrom
7.311 0.000 0.000
0.000 7.648 0.000
0.000 0.000 8.380
ATOMIC_POSITIONS crystal
K 0.385 0.537 0.759
K 0.615 0.037 0.741
K 0.115 0.463 0.259
K 0.885 0.963 0.241
V 0.383 0.946 0.115
V 0.883 0.554 0.885
V 0.117 0.054 0.615
V 0.617 0.446 0.385
P 0.121 0.186 0.903
P 0.379 0.814 0.403
P 0.621 0.314 0.097
P 0.879 0.686 0.597
O 0.177 0.095 0.060
O 0.437 0.627 0.445
O 0.533 0.914 0.311
O 0.418 0.807 0.975
O 0.918 0.693 0.025
O 0.224 0.822 0.275
O 0.467 0.414 0.189
O 0.323 0.905 0.560
O 0.033 0.586 0.689
O 0.082 0.193 0.475
O 0.063 0.373 0.945
O 0.937 0.873 0.555
O 0.276 0.178 0.775
O 0.582 0.307 0.525
O 0.724 0.678 0.725
O 0.677 0.405 0.940
O 0.967 0.086 0.811
O 0.776 0.322 0.225
O 0.823 0.595 0.440
O 0.563 0.127 0.055
```

# 5
First-principles (PBEsol) data for a relaxed structure of KVPO5, as listed in the Alexandria database. Values from VASP.

Computed properties:
* ΔE to the lowest computed polymorph: 0.000 eV per atom
* formation energy from raw total energies: -2.370 eV per atom
* spin magnetization: 8.0 Bohr magnetons per cell
* Fermi-level density of states: 14.237 states/eV/cell

Quantum ESPRESSO input file:
```
&SYSTEM
  ibrav = 0, nat = 64, ntyp = 4
/
ATOMIC_SPECIES
K 39.10 K.upf
V 50.94 V.upf
P 30.97 P.upf
O 16.00 O.upf
CELL_PARAMETERS angstrom
-0.185 -6.276 -0.925
4.032 1.287 -9.534
11.698 -1.053 4.805
ATOMIC_POSITIONS crystal
K 0.219 0.815 0.622
K 0.719 0.315 0.878
K 0.281 0.815 0.122
K 0.700 0.069 0.106
K 0.200 0.569 0.394
K 0.300 0.569 0.894
K 0.800 0.069 0.606
K 0.781 0.315 0.378
V 0.500 0.013 0.370
V 0.500 0.513 0.630
V 0.000 0.013 0.870
V 0.257 0.261 0.246
V 0.743 0.761 0.754
V 0.243 0.261 0.746
V 0.757 0.761 0.254
V 0.000 0.513 0.130
P 0.004 0.015 0.320
P 0.996 0.515 0.680
P 0.496 0.015 0.820
P 0.504 0.515 0.180
P 0.837 0.765 0.002
P 0.163 0.265 0.998
P 0.663 0.765 0.502
P 0.337 0.265 0.498
O 0.557 0.889 0.282
O 0.443 0.389 0.718
O 0.943 0.889 0.782
O 0.057 0.389 0.218
O 0.949 0.637 0.221
O 0.051 0.137 0.779
O 0.551 0.637 0.721
O 0.449 0.137 0.279
O 0.968 0.898 0.247
O 0.032 0.398 0.753
O 0.532 0.898 0.747
O 0.468 0.398 0.253
O 0.034 0.131 0.245
O 0.966 0.631 0.755
O 0.466 0.131 0.745
O 0.690 0.741 0.906
O 0.534 0.631 0.255
O 0.804 0.489 0.609
O 0.304 0.989 0.891
O 0.696 0.489 0.109
O 0.811 0.044 0.390
O 0.189 0.544 0.610
O 0.689 0.044 0.890
O 0.311 0.544 0.110
O 0.489 0.151 0.485
O 0.511 0.651 0.515
O 0.011 0.151 0.985
O 0.989 0.651 0.015
O 0.470 0.388 0.510
O 0.530 0.888 0.490
O 0.030 0.388 0.010
O 0.970 0.888 0.990
O 0.195 0.284 0.400
O 0.805 0.784 0.600
O 0.305 0.284 0.900
O 0.695 0.784 0.100
O 0.190 0.241 0.594
O 0.810 0.741 0.406
O 0.310 0.241 0.094
O 0.196 0.989 0.391
```

# 6
First-principles (PBEsol) data for a relaxed structure of K2VP2O8, as listed in the Alexandria database. Values from VASP.

Computed properties:
* formation energy from raw total energies: -2.320 eV per atom
* spin magnetization: 2.0 Bohr magnetons per cell

Quantum ESPRESSO input file:
```
&SYSTEM
  ibrav = 0, nat = 26, ntyp = 4
/
ATOMIC_SPECIES
K 39.10 K.upf
V 50.94 V.upf
P 30.97 P.upf
O 16.00 O.upf
CELL_PARAMETERS angstrom
-5.353 0.484 0.218
-0.796 -8.151 -1.438
0.200 -1.463 8.182
ATOMIC_POSITIONS crystal
K 0.629 0.671 0.829
K 0.629 0.829 0.329
K 0.629 0.171 0.671
K 0.629 0.329 0.171
V 0.100 0.500 0.500
V 0.100 0.000 0.000
P 0.115 0.871 0.629
P 0.115 0.629 0.129
P 0.115 0.371 0.871
P 0.115 0.129 0.371
O 0.001 0.500 0.000
O 0.001 0.000 0.500
O 0.991 0.213 0.924
O 0.991 0.787 0.076
O 0.991 0.076 0.213
O 0.991 0.924 0.787
O 0.991 0.576 0.287
O 0.991 0.287 0.424
O 0.991 0.713 0.576
O 0.991 0.424 0.713
O 0.397 0.500 0.500
O 0.397 0.000 0.000
O 0.393 0.126 0.374
O 0.393 0.374 0.874
O 0.393 0.626 0.126
O 0.393 0.874 0.626
```

# 7
First-principles (PBEsol) data for a relaxed structure of KVP2O7, as listed in the Alexandria database. Values from VASP.

Computed properties:
* formation energy from raw total energies: -2.300 eV per atom
* spin magnetization: 8.0 Bohr magnetons per cell
* Fermi-level density of states: 27.644 states/eV/cell

Quantum ESPRESSO input file:
```
&SYSTEM
  ibrav = 0, nat = 44, ntyp = 4
/
ATOMIC_SPECIES
K 39.10 K.upf
V 50.94 V.upf
P 30.97 P.upf
O 16.00 O.upf
CELL_PARAMETERS angstrom
7.362 0.015 0.000
-2.361 7.846 0.000
0.000 0.000 10.063
ATOMIC_POSITIONS crystal
K 0.824 0.446 0.825
K 0.176 0.554 0.175
K 0.824 0.946 0.675
K 0.176 0.054 0.325
V 0.765 0.237 0.400
V 0.235 0.263 0.900
V 0.235 0.763 0.600
V 0.765 0.737 0.100
P 0.866 0.168 0.097
P 0.866 0.668 0.403
P 0.134 0.832 0.903
P 0.134 0.332 0.597
P 0.557 0.308 0.138
P 0.557 0.808 0.362
P 0.443 0.692 0.862
P 0.443 0.192 0.638
O 0.657 0.182 0.061
O 0.343 0.318 0.561
O 0.343 0.818 0.939
O 0.657 0.682 0.439
O 0.918 0.244 0.236
O 0.082 0.256 0.736
O 0.082 0.756 0.764
O 0.918 0.744 0.264
O 0.642 0.231 0.581
O 0.358 0.269 0.081
O 0.358 0.769 0.419
O 0.642 0.731 0.919
O 0.546 0.257 0.286
O 0.454 0.243 0.786
O 0.454 0.743 0.714
O 0.546 0.757 0.214
O 0.856 0.982 0.091
O 0.144 0.518 0.591
O 0.144 0.018 0.909
O 0.856 0.482 0.409
O 0.681 0.487 0.108
O 0.319 0.013 0.608
O 0.319 0.513 0.892
O 0.681 0.987 0.392
O 0.001 0.722 0.005
O 0.999 0.778 0.505
O 0.999 0.278 0.995
O 0.001 0.222 0.495
```

# 8
First-principles (PBEsol) data for a relaxed structure of KV3P4O17, as listed in the Alexandria database. Values from VASP.

Computed properties:
* formation energy from raw total energies: -2.288 eV per atom
* spin magnetization: 8.0 Bohr magnetons per cell
* Fermi-level density of states: 19.102 states/eV/cell

Quantum ESPRESSO input file:
```
&SYSTEM
  ibrav = 0, nat = 100, ntyp = 4
/
ATOMIC_SPECIES
K 39.10 K.upf
V 50.94 V.upf
P 30.97 P.upf
O 16.00 O.upf
CELL_PARAMETERS angstrom
7.822 0.000 0.000
0.000 10.029 0.000
0.000 0.000 16.310
ATOMIC_POSITIONS crystal
K 0.994 0.561 0.827
K 0.506 0.439 0.327
K 0.006 0.061 0.673
K 0.494 0.939 0.173
V 0.207 0.749 0.995
V 0.709 0.817 0.348
V 0.791 0.183 0.848
V 0.291 0.317 0.152
V 0.209 0.683 0.652
V 0.707 0.751 0.005
V 0.793 0.249 0.505
V 0.293 0.251 0.495
V 0.712 0.681 0.653
V 0.212 0.819 0.347
V 0.288 0.181 0.847
V 0.788 0.319 0.153
P 0.309 0.371 0.688
P 0.191 0.629 0.188
P 0.691 0.871 0.812
P 0.809 0.129 0.312
P 0.302 0.935 0.534
P 0.802 0.565 0.466
P 0.698 0.435 0.966
P 0.198 0.065 0.034
P 0.308 0.869 0.814
P 0.808 0.631 0.186
P 0.692 0.369 0.686
P 0.192 0.131 0.314
P 0.304 0.433 0.968
P 0.804 0.067 0.032
P 0.696 0.933 0.532
P 0.196 0.567 0.468
O 0.501 0.404 0.979
O 0.001 0.096 0.021
O 0.499 0.904 0.521
O 0.999 0.596 0.479
O 0.501 0.383 0.719
O 0.001 0.117 0.281
O 0.499 0.883 0.781
O 0.999 0.617 0.219
O 0.244 0.862 0.612
O 0.744 0.638 0.388
O 0.756 0.362 0.888
O 0.256 0.138 0.112
O 0.220 0.761 0.763
O 0.720 0.739 0.237
O 0.780 0.261 0.737
O 0.280 0.239 0.263
O 0.277 0.614 0.548
O 0.777 0.886 0.452
O 0.723 0.114 0.952
O 0.223 0.386 0.048
O 0.229 0.507 0.704
O 0.729 0.993 0.296
O 0.771 0.007 0.796
O 0.271 0.493 0.204
O 0.011 0.751 0.965
O 0.318 0.831 0.904
O 0.682 0.331 0.596
O 0.182 0.169 0.404
O 0.276 0.580 0.949
O 0.776 0.920 0.051
O 0.724 0.080 0.551
O 0.224 0.420 0.449
O 0.992 0.319 0.164
O 0.492 0.181 0.836
O 0.008 0.819 0.336
O 0.508 0.681 0.664
O 0.726 0.239 0.260
O 0.226 0.261 0.740
O 0.274 0.739 0.240
O 0.774 0.761 0.760
O 0.496 0.321 0.144
O 0.996 0.179 0.856
O 0.504 0.821 0.356
O 0.004 0.679 0.644
O 0.742 0.144 0.108
O 0.242 0.356 0.892
O 0.258 0.644 0.392
O 0.758 0.856 0.608
O 0.728 0.493 0.200
O 0.228 0.007 0.800
O 0.272 0.993 0.300
O 0.772 0.507 0.700
O 0.785 0.389 0.043
O 0.285 0.111 0.957
O 0.215 0.889 0.457
O 0.715 0.611 0.543
O 0.309 0.334 0.598
O 0.809 0.166 0.402
O 0.691 0.834 0.902
O 0.191 0.666 0.098
O 0.278 0.083 0.552
O 0.778 0.417 0.448
O 0.722 0.583 0.948
O 0.222 0.917 0.052
O 0.489 0.249 0.465
O 0.989 0.251 0.535
O 0.511 0.749 0.035
O 0.818 0.669 0.096
```